[1]
AlZn2Ir2: relaxed, PBE-GGA.

Cell lengths 6.3131, 6.3131, 3.9366 Å; angles 90.00, 90.00, 90.00 degrees
Last column: nearest neighbours and their distance in Å.
Element x y z (fractional)
Al: 0.0000 0.0000 0.0000  4 Ir 2.42
Al: 0.5000 0.5000 0.0000  4 Ir 2.42
Zn: 0.1579 0.3421 0.5000  6 Ir 2.65-2.74, 1 Zn 2.82
Zn: 0.3421 0.8421 0.5000  6 Ir 2.65-2.74, 1 Zn 2.82
Zn: 0.6579 0.1579 0.5000  6 Ir 2.65-2.74, 1 Zn 2.82
Zn: 0.8421 0.6579 0.5000  6 Ir 2.65-2.74, 1 Zn 2.82
Ir: 0.1441 0.6441 0.0000  2 Al 2.42, 1 Ir 2.57, 2 Zn 2.65
Ir: 0.3559 0.1441 0.0000  2 Al 2.42, 1 Ir 2.57, 2 Zn 2.65
Ir: 0.6441 0.8559 0.0000  2 Al 2.42, 1 Ir 2.57, 2 Zn 2.65
Ir: 0.8559 0.3559 0.0000  2 Al 2.42, 1 Ir 2.57, 2 Zn 2.65

## Properties
Its space-group type is No. 127. The formation enthalpy at 0 K comes out at -0.323 eV per atom. For the total magnetic moment, the calculation gives 0.000 μB per cell. For the density of states at the Fermi level, the calculation gives 1.7 states/eV/f.u. As for the total energy: -0.37674 Ry per atom. For the volume, the calculation gives 156.89 Å³ per cell.

=====

[2]
AlZn2Ir: relaxed, PBE-GGA.

Cell lengths 4.8827, 4.8827, 4.3469 Å; angles 103.60, 103.60, 34.92 degrees
Last column: nearest neighbours and their distance in Å.
Element x y z (fractional)
Al: 0.0000 0.0000 0.0000  4 Ir 2.62, 6 Zn 2.77-2.79, 2 Al 2.93
Zn: 0.2436 0.2436 0.7400  4 Zn 2.58-2.67, 3 Ir 2.69-2.83, 3 Al 2.77-2.79
Zn: 0.7564 0.7564 0.2600  4 Zn 2.58-2.67, 3 Ir 2.69-2.83, 3 Al 2.77-2.79
Ir: 0.5000 0.5000 0.5000  4 Al 2.62, 6 Zn 2.69-2.83, 2 Ir 2.93

## Properties
Its space-group type is No. 12. The formation enthalpy at 0 K comes out at -0.330 eV per atom. For the total magnetic moment, the calculation gives 0.000 μB per cell. For the density of states at the Fermi level, the calculation gives 1.6 states/eV/f.u. As for the total energy: -0.30267 Ry per atom. For the volume, the calculation gives 57.50 Å³ per cell.

=====

[3]
AlZn2Ir: relaxed, PBE-GGA.

Cell lengths 4.3258, 4.3258, 4.3258 Å; angles 60.00, 60.00, 60.00 degrees
Last column: nearest neighbours and their distance in Å.
Element x y z (fractional)
Al: 0.0000 0.0000 0.0000  4 Ir 2.65, 4 Zn 2.65
Zn: 0.2500 0.2500 0.2500  4 Zn 2.65, 4 Al 2.65
Zn: 0.5000 0.5000 0.5000  4 Ir 2.65, 4 Zn 2.65
Ir: 0.7500 0.7500 0.7500  4 Zn 2.65, 4 Al 2.65

## Properties
Its space-group type is No. 216. The formation enthalpy at 0 K comes out at -0.265 eV per atom. For the total magnetic moment, the calculation gives 0.000 μB per cell. For the density of states at the Fermi level, the calculation gives 1.6 states/eV/f.u. As for the total energy: -0.29792 Ry per atom. For the volume, the calculation gives 57.24 Å³ per cell.

=====

[4]
AlZn4Ir: relaxed, PBE-GGA.

Cell lengths 4.9179, 4.9179, 4.9179 Å; angles 60.00, 60.00, 60.00 degrees
Last column: nearest neighbours and their distance in Å.
Element x y z (fractional)
Al: 0.0000 0.0000 0.0000  12 Zn 2.88, 4 Ir 3.01
Zn: 0.1253 0.6249 0.6249  6 Zn 2.46
Zn: 0.6249 0.1253 0.6249  6 Zn 2.46
Zn: 0.6249 0.6249 0.1253  6 Zn 2.46
Zn: 0.6249 0.6249 0.6249  6 Zn 2.46
Ir: 0.2500 0.2500 0.2500  12 Zn 2.88, 4 Al 3.01

## Properties
Its space-group type is No. 216. The formation enthalpy at 0 K comes out at -0.094 eV per atom. For the total magnetic moment, the calculation gives 0.000 μB per cell. For the density of states at the Fermi level, the calculation gives 0.7 states/eV/f.u. As for the total energy: -0.22375 Ry per atom. For the volume, the calculation gives 84.11 Å³ per cell.

=====

[5]
AlZn2Ir: relaxed, PBE-GGA.

Cell lengths 8.7100, 8.7100, 8.7100 Å; angles 18.83, 18.83, 18.83 degrees
Last column: nearest neighbours and their distance in Å.
Element x y z (fractional)
Al: 0.0000 0.0000 0.0000  6 Zn 2.75, 6 Al 2.85
Zn: 0.2473 0.2473 0.2473  3 Ir 2.64, 3 Al 2.75, 6 Zn 2.85
Zn: 0.7527 0.7527 0.7527  3 Ir 2.64, 3 Al 2.75, 6 Zn 2.85
Ir: 0.5000 0.5000 0.5000  6 Zn 2.64, 6 Ir 2.85

## Properties
Its space-group type is No. 166. The formation enthalpy at 0 K comes out at -0.059 eV per atom. For the total magnetic moment, the calculation gives 0.003 μB per cell. For the density of states at the Fermi level, the calculation gives 3.1 states/eV/f.u. As for the total energy: -0.28272 Ry per atom. For the volume, the calculation gives 60.15 Å³ per cell.

=====

[6]
AlZnIr2: relaxed, PBE-GGA.

Cell lengths 4.8823, 4.8823, 4.8823 Å; angles 135.05, 135.05, 65.46 degrees
Last column: nearest neighbours and their distance in Å.
Element x y z (fractional)
Al: 0.0000 0.0000 0.0000  8 Ir 2.64-2.78, 4 Zn 2.78
Zn: 0.7500 0.2500 0.5000  8 Ir 2.64-2.78, 4 Al 2.78
Ir: 0.2500 0.7500 0.5000  4 Zn 2.64, 4 Ir 2.78, 4 Al 2.78
Ir: 0.5000 0.5000 0.0000  4 Al 2.64, 4 Ir 2.78, 4 Zn 2.78

## Properties
Its space-group type is No. 119. The formation enthalpy at 0 K comes out at -0.282 eV per atom. For the total magnetic moment, the calculation gives 0.000 μB per cell. For the density of states at the Fermi level, the calculation gives 3.0 states/eV/f.u. As for the total energy: -0.43856 Ry per atom. For the volume, the calculation gives 57.24 Å³ per cell.

=====

[7]
AlZnIr2: relaxed, PBE-GGA.

Cell lengths 4.2788, 4.2788, 4.2788 Å; angles 60.00, 60.00, 60.00 degrees
Last column: nearest neighbours and their distance in Å.
Element x y z (fractional)
Al: 0.0000 0.0000 0.0000  8 Ir 2.62
Zn: 0.5000 0.5000 0.5000  8 Ir 2.62
Ir: 0.2500 0.2500 0.2500  4 Al 2.62, 4 Zn 2.62
Ir: 0.7500 0.7500 0.7500  4 Al 2.62, 4 Zn 2.62

## Properties
Its space-group type is No. 225. The formation enthalpy at 0 K comes out at -0.587 eV per atom. For the total magnetic moment, the calculation gives 0.000 μB per cell. For the density of states at the Fermi level, the calculation gives 1.2 states/eV/f.u. As for the total energy: -0.46097 Ry per atom. For the volume, the calculation gives 55.39 Å³ per cell.

=====

[8]
Al2Zn2Ir: relaxed, PBE-GGA.

Cell lengths 6.5228, 6.5228, 3.7314 Å; angles 90.00, 90.00, 90.00 degrees
Last column: nearest neighbours and their distance in Å.
Element x y z (fractional)
Al: 0.1470 0.3530 0.0000  2 Ir 2.49, 6 Zn 2.62-2.71, 1 Al 2.71
Al: 0.3530 0.8530 0.0000  2 Ir 2.49, 6 Zn 2.62-2.71, 1 Al 2.71
Al: 0.6470 0.1470 0.0000  2 Ir 2.49, 6 Zn 2.62-2.71, 1 Al 2.71
Al: 0.8530 0.6470 0.0000  2 Ir 2.49, 6 Zn 2.62-2.71, 1 Al 2.71
Zn: 0.1542 0.6542 0.5000  6 Al 2.62-2.71, 1 Zn 2.84
Zn: 0.3458 0.1542 0.5000  6 Al 2.62-2.71, 1 Zn 2.84
Zn: 0.6542 0.8458 0.5000  6 Al 2.62-2.71, 1 Zn 2.84
Zn: 0.8458 0.3458 0.5000  6 Al 2.62-2.71, 1 Zn 2.84
Ir: 0.0000 0.0000 0.0000  4 Al 2.49
Ir: 0.5000 0.5000 0.0000  4 Al 2.49

## Properties
Its space-group type is No. 127. The formation enthalpy at 0 K comes out at -0.009 eV per atom. For the total magnetic moment, the calculation gives 0.001 μB per cell. For the density of states at the Fermi level, the calculation gives 3.0 states/eV/f.u. As for the total energy: -0.27838 Ry per atom. For the volume, the calculation gives 158.76 Å³ per cell. The energy relative to the lowest polymorph listed for this composition comes out at 0 meV per atom.

=====

[9]
AlZnIr2: relaxed, PBE-GGA.

Cell lengths 2.8060, 2.8060, 8.3426 Å; angles 90.00, 90.00, 117.30 degrees
Last column: nearest neighbours and their distance in Å.
Element x y z (fractional)
Al: 0.0000 0.0000 0.0000  4 Ir 2.47
Zn: 0.0000 0.0000 0.5000  4 Ir 2.62, 6 Zn 2.81-2.92
Ir: 0.5000 0.5000 0.2393  2 Al 2.47, 2 Zn 2.62
Ir: 0.5000 0.5000 0.7607  2 Al 2.47, 2 Zn 2.62

## Properties
Its space-group type is No. 65. The formation enthalpy at 0 K comes out at -0.297 eV per atom. For the total magnetic moment, the calculation gives 0.000 μB per cell. For the density of states at the Fermi level, the calculation gives 2.5 states/eV/f.u. As for the total energy: -0.43967 Ry per atom. For the volume, the calculation gives 58.37 Å³ per cell.

=====

[10]
AlZn2Ir: relaxed, PBE-GGA.

Cell lengths 4.9196, 4.9196, 4.6419 Å; angles 114.31, 114.31, 34.81 degrees
Last column: nearest neighbours and their distance in Å.
Element x y z (fractional)
Al: 0.0000 0.0000 0.0000  3 Ir 2.56-2.64, 7 Zn 2.71-2.78
Zn: 0.2379 0.2379 0.5968  3 Zn 2.56-2.67, 4 Ir 2.68-2.81, 3 Al 2.71-2.78
Zn: 0.4819 0.4819 0.4829  3 Zn 2.56-2.67, 3 Ir 2.69-2.78, 4 Al 2.75-2.76
Ir: 0.7377 0.7377 0.0800  3 Al 2.56-2.64, 7 Zn 2.68-2.81

## Properties
Its space-group type is No. 8. The formation enthalpy at 0 K comes out at -0.313 eV per atom. For the total magnetic moment, the calculation gives 0.000 μB per cell. For the density of states at the Fermi level, the calculation gives 1.2 states/eV/f.u. As for the total energy: -0.30144 Ry per atom. For the volume, the calculation gives 57.85 Å³ per cell.

=====

[11]
AlZnIr2: relaxed, PBE-GGA.

Cell lengths 2.7900, 2.7900, 7.6234 Å; angles 90.00, 90.00, 90.00 degrees
Last column: nearest neighbours and their distance in Å.
Element x y z (fractional)
Al: 0.0000 0.0000 0.0000  4 Ir 2.60, 4 Al 2.79
Zn: 0.5000 0.5000 0.7153  4 Ir 2.69, 4 Zn 2.79, 4 Al 2.93
Ir: 0.0000 0.0000 0.4747  4 Zn 2.69, 8 Ir 2.76-2.79
Ir: 0.5000 0.5000 0.2220  4 Al 2.60, 8 Ir 2.76-2.79

## Properties
Its space-group type is No. 99. The formation enthalpy at 0 K comes out at -0.142 eV per atom. For the total magnetic moment, the calculation gives 0.001 μB per cell. For the density of states at the Fermi level, the calculation gives 5.1 states/eV/f.u. As for the total energy: -0.42825 Ry per atom. For the volume, the calculation gives 59.34 Å³ per cell.

=====

[12]
AlZn2Ir: relaxed, PBE-GGA.

Cell lengths 3.7566, 3.7566, 4.0360 Å; angles 90.00, 90.00, 90.00 degrees
Last column: nearest neighbours and their distance in Å.
Element x y z (fractional)
Al: 0.0000 0.0000 0.0000  4 Ir 2.66, 8 Zn 2.76
Zn: 0.0000 0.5000 0.5000  4 Zn 2.66, 4 Al 2.76, 4 Ir 2.76
Zn: 0.5000 0.0000 0.5000  4 Zn 2.66, 4 Al 2.76, 4 Ir 2.76
Ir: 0.5000 0.5000 0.0000  4 Al 2.66, 8 Zn 2.76

## Properties
Its space-group type is No. 123. The formation enthalpy at 0 K comes out at -0.305 eV per atom. For the total magnetic moment, the calculation gives 0.000 μB per cell. For the density of states at the Fermi level, the calculation gives 1.3 states/eV/f.u. As for the total energy: -0.30079 Ry per atom. For the volume, the calculation gives 56.96 Å³ per cell.

=====

[13]
AlZnIr2: relaxed, PBE-GGA.

Cell lengths 5.0077, 5.0077, 4.5022 Å; angles 111.43, 111.43, 33.09 degrees
Last column: nearest neighbours and their distance in Å.
Element x y z (fractional)
Al: 0.0000 0.0000 0.0000  7 Ir 2.61-2.72, 3 Zn 2.72-2.91, 2 Al 2.85
Zn: 0.2324 0.2324 0.5842  7 Ir 2.59-2.71, 1 Al 2.72, 2 Zn 2.85
Ir: 0.4854 0.4854 0.5023  3 Zn 2.59-2.67, 4 Al 2.61-2.72, 5 Ir 2.75-2.85
Ir: 0.7459 0.7459 0.0848  3 Al 2.61-2.66, 4 Zn 2.63-2.71, 5 Ir 2.75-2.85

## Properties
Its space-group type is No. 8. The formation enthalpy at 0 K comes out at -0.458 eV per atom. For the total magnetic moment, the calculation gives 0.000 μB per cell. For the density of states at the Fermi level, the calculation gives 2.2 states/eV/f.u. As for the total energy: -0.45151 Ry per atom. For the volume, the calculation gives 56.99 Å³ per cell.

=====

[14]
AlZn2Ir: relaxed, PBE-GGA.

Cell lengths 8.4388, 8.4388, 8.4388 Å; angles 19.75, 19.75, 19.75 degrees
Last column: nearest neighbours and their distance in Å.
Element x y z (fractional)
Al: 0.0000 0.0000 0.0000  3 Ir 2.54, 3 Zn 2.70
Zn: 0.5052 0.5052 0.5052  3 Ir 2.68, 9 Zn 2.71-2.89
Zn: 0.7523 0.7523 0.7523  3 Al 2.70, 9 Zn 2.71-2.89
Ir: 0.2560 0.2560 0.2560  3 Al 2.54, 3 Zn 2.68

## Properties
Its space-group type is No. 160. The formation enthalpy at 0 K comes out at -0.182 eV per atom. For the total magnetic moment, the calculation gives 0.000 μB per cell. For the density of states at the Fermi level, the calculation gives 2.8 states/eV/f.u. As for the total energy: -0.29177 Ry per atom. For the volume, the calculation gives 60.01 Å³ per cell.